Record 1
## LiYCdTe3 (PBE)

Data for crystalline LiYCdTe3 at its relaxed geometry.

a = 8.751 Å, b = 4.363 Å, c = 18.556 Å
α = 90.00°, β = 90.00°, γ = 90.00°
Sites, in units of the cell vectors:
Cd 0.540 0.750 0.170
Cd 0.040 0.750 0.330
Cd 0.960 0.250 0.670
Cd 0.460 0.250 0.830
Li 0.899 0.250 0.193
Li 0.399 0.250 0.307
Li 0.601 0.750 0.693
Li 0.101 0.750 0.807
Te 0.877 0.750 0.072
Te 0.491 0.250 0.074
Te 0.218 0.750 0.208
Te 0.718 0.750 0.292
Te 0.991 0.250 0.426
Te 0.377 0.750 0.428
Te 0.623 0.250 0.572
Te 0.009 0.750 0.574
Te 0.282 0.250 0.708
Te 0.782 0.250 0.792
Te 0.509 0.750 0.926
Te 0.123 0.250 0.928
Y 0.224 0.750 0.037
Y 0.724 0.750 0.463
Y 0.276 0.250 0.537
Y 0.776 0.250 0.963

The value obtained for the mass density is 5.5 g/cm³. The calculation puts the total moment at 0.010 μB/cell. The offset from the most stable computed form is 109 meV/atom.

=====

Record 2
## LiYCdTe3 (PBE)

Data for crystalline LiYCdTe3 at its relaxed geometry.

a = 8.369 Å, b = 4.395 Å, c = 10.895 Å
α = 90.00°, β = 104.41°, γ = 90.00°
Sites, in units of the cell vectors:
Cd 0.922 0.750 0.399
Cd 0.078 0.250 0.601
Li 0.187 0.250 0.129
Li 0.813 0.750 0.871
Te 0.941 0.750 0.143
Te 0.421 0.750 0.147
Te 0.730 0.250 0.449
Te 0.270 0.750 0.551
Te 0.579 0.250 0.853
Te 0.059 0.250 0.857
Y 0.676 0.250 0.147
Y 0.324 0.750 0.853

The value obtained for the mass density is 5.1 g/cm³. The calculation puts the total moment at 0.002 μB/cell. The offset from the most stable computed form is 0 meV/atom.

=====

Record 3
## LiYCdTe3 (PBE)

Data for crystalline LiYCdTe3 at its relaxed geometry.

a = 11.596 Å, b = 4.303 Å, c = 14.337 Å
α = 90.00°, β = 90.00°, γ = 90.00°
Sites, in units of the cell vectors:
Cd 0.252 0.750 0.229
Cd 0.752 0.750 0.271
Cd 0.248 0.250 0.729
Cd 0.748 0.250 0.771
Li 0.263 0.250 0.037
Li 0.763 0.250 0.463
Li 0.237 0.750 0.537
Li 0.737 0.750 0.963
Te 0.068 0.750 0.103
Te 0.440 0.750 0.105
Te 0.753 0.250 0.144
Te 0.253 0.250 0.356
Te 0.940 0.750 0.395
Te 0.568 0.750 0.397
Te 0.432 0.250 0.603
Te 0.060 0.250 0.605
Te 0.747 0.750 0.644
Te 0.247 0.750 0.856
Te 0.560 0.250 0.895
Te 0.932 0.250 0.897
Y 0.003 0.250 0.248
Y 0.503 0.250 0.252
Y 0.497 0.750 0.748
Y 0.997 0.750 0.752

The value obtained for the mass density is 5.5 g/cm³. The calculation puts the total moment at 0.015 μB/cell. The offset from the most stable computed form is 49 meV/atom.

=====

Record 4
## LiYCdTe3 (PBE)

Data for crystalline LiYCdTe3 at its relaxed geometry.

a = 10.377 Å, b = 10.377 Å, c = 8.987 Å
α = 104.52°, β = 104.52°, γ = 23.79°
Sites, in units of the cell vectors:
Cd 0.547 0.547 0.231
Cd 0.453 0.453 0.769
Li 0.904 0.904 0.368
Li 0.096 0.096 0.632
Te 0.000 0.000 0.000
Te 0.332 0.332 0.163
Te 0.687 0.687 0.335
Te 0.500 0.500 0.500
Te 0.313 0.313 0.665
Te 0.668 0.668 0.837
Y 0.177 0.177 0.087
Y 0.823 0.823 0.913

The value obtained for the mass density is 5.2 g/cm³. The calculation puts the total moment at 0.002 μB/cell. The offset from the most stable computed form is 83 meV/atom.

=====

Question: Which of these has the highest offset from the most stable computed form?
Answer: number 1